VASP calculation (GGA-PBE) on crystalline Sc4TaNi at its relaxed geometry.

Calculated values
symmetry = F-43m, No. 216
E_tot = -6.517 eV/atom
ΔE_f = 14.83 kcal/mol of atoms
crystal system = cubic

Structure (CIF):
```
data_Sc4TaNi
_cell_length_a 5.589
_cell_length_b 5.589
_cell_length_c 5.589
_cell_angle_alpha 60.00
_cell_angle_beta 60.00
_cell_angle_gamma 60.00
_space_group_name_H-M_alt 'P 1'
_space_group_IT_number 1
loop_
_space_group_symop_operation_xyz
'x,y,z'
loop_
_atom_site_label
_atom_site_fract_x
_atom_site_fract_y
_atom_site_fract_z
Ta1 0.750 0.750 0.750
Sc1 0.376 0.376 0.376
Sc2 0.376 0.376 0.872
Sc3 0.872 0.376 0.376
Sc4 0.376 0.872 0.376
Ni1 0.000 0.000 0.000
```